1.
## SnBO2F (PBE)

Data for a relaxed structure of SnBO2F.

Unit cell a=4.012 b=4.012 c=4.177 alpha=90.00 beta=90.00 gamma=90.00
Sites, in units of the cell vectors:
1 O 0.000 0.500 0.000
2 F 0.000 0.000 0.500
3 Sn 0.000 0.000 0.000
4 O 0.500 0.000 0.000
5 B 0.500 0.500 0.500

Calculated values
**DOS(E_F)**: 0.04 states/eV per cell
**Formation energy without anion corrections**: -166 kJ/mol of formula units

---

2.
## InSi2Te (PBE)

Data for a relaxed structure of InSi2Te.

Unit cell a=8.113 b=6.120 c=2.978 alpha=66.55 beta=103.48 gamma=136.02
Sites, in units of the cell vectors:
1 Si 0.500 0.000 0.500
2 In 0.500 0.500 0.000
3 Te 0.000 0.500 0.500
4 Si 0.000 0.000 0.000

Calculated values
**DOS(E_F)**: 2.25 states/eV per cell
**Formation energy without anion corrections**: 166 kJ/mol of formula units
**Energy relative to the lowest polymorph listed for this composition**: 251.5 meV per atom

---

3.
## Cr5Cu (PBE)

Data for a relaxed structure of Cr5Cu.

Unit cell a=7.281 b=7.281 c=4.219 alpha=90.00 beta=90.00 gamma=161.55
Sites, in units of the cell vectors:
1 Cr 0.437 0.563 0.500
2 Cu 0.105 0.895 0.500
3 Cr 0.675 0.325 0.000
4 Cr 0.343 0.657 0.000
5 Cr 0.767 0.233 0.500
6 Cr 0.008 0.992 0.000

Calculated values
**DOS(E_F)**: 7.47 states/eV per cell
**Energy of formation from the pure elements**: 0.31 eV/atom
**Energy relative to the lowest polymorph listed for this composition**: 121.9 meV per atom

---

4.
## UGaBi2 (PBE)

Data for a relaxed structure of UGaBi2.

Unit cell a=3.279 b=3.279 c=12.213 alpha=82.28 beta=82.28 gamma=60.00
Sites, in units of the cell vectors:
1 Ga 0.000 0.000 0.000
2 U 0.500 0.500 0.500
3 Bi 0.088 0.088 0.735
4 Bi 0.912 0.912 0.265

Calculated values
**DOS(E_F)**: 5.55 states/eV per cell
**Energy of formation from the pure elements**: 0.20 eV/atom
**Energy relative to the lowest polymorph listed for this composition**: 185.2 meV per atom

---

| no. | calculated density (g/cm³) |
| --- | --- |
| 1 | 4.46 |
| 2 | 5.28 |
| 3 | 7.59 |
| 4 | 10.72 |